# HgBrN

A relaxed structure of HgBrN (GGA-PBE, the Alexandria database).

The calculation puts the theoretical density at 6.05 g/cm³. The space-group type is No. 123. As for the uncorrected formation energy: 3.46 eV/f.u.

a b c (Å): 4.375 4.375 4.224
angles (deg): 90.00 90.00 90.00
Last column: magnetic moment on the atom in μB.
Sites, in units of the cell vectors:
1 N 0.000 0.000 0.000  1.22
2 Br 0.500 0.500 0.500  0.12
3 Hg 0.000 0.000 0.500  0.06